# 1
## K4Rb3NaI8 (GGA-PBE)

Data for a geometry-optimized K4Rb3NaI8 structure.

a b c (Å): 17.6671 10.2023 10.1964
angles (deg): 90.00 125.22 90.00
Space group C2/m (No. 12)
Asymmetric unit:
K: 0.0000 0.0000 0.0000
K: 0.0000 0.5000 0.0000
K: 0.2500 0.2500 0.5000
Rb: 0.0000 0.0000 0.5000
Rb: 0.2500 0.2500 0.0000
Na: 0.0000 0.5000 0.5000
I: 0.0037 0.2628 0.2591
I: 0.2430 0.5000 0.7356
I: 0.2460 0.5000 0.2539

Calculated values
formation energy without anion corrections	-23.16	eV per formula unit
mass density	3.21	g cm⁻³
N(E_F)	0.0000	states/eV/atom

# 2
## MnCo4Pt (GGA-PBE)

Data for a geometry-optimized MnCo4Pt structure.

a b c (Å): 6.6680 6.6680 6.6680
angles (deg): 90.00 90.00 90.00
Space group F-43m (No. 216)
Asymmetric unit:
Mn: 0.0000 0.0000 0.0000
Co: 0.1252 0.1252 0.3748
Pt: 0.2500 0.2500 0.7500

Calculated values
formation enthalpy at 0 K	-0.006	eV per atom
mass density	10.88	g cm⁻³
N(E_F)	0.9149	states/eV/atom

# 3
## Pm2NdY2Tm2 (GGA-PBE)

Data for a geometry-optimized Pm2NdY2Tm2 structure.

a b c (Å): 11.7466 3.5266 11.8402
angles (deg): 90.00 108.63 90.00
Space group C2/m (No. 12)
Asymmetric unit:
Pm: 0.1718 0.0000 0.0843
Nd: 0.0000 0.5000 0.5000
Y: 0.0491 0.0000 0.7722
Tm: 0.2263 0.5000 0.3633

Calculated values
formation enthalpy at 0 K	0.088	eV per atom
mass density	6.79	g cm⁻³
N(E_F)	1.7395	states/eV/atom

# 4
## BaTaTe4 (GGA-PBE)

Data for a geometry-optimized BaTaTe4 structure.

a b c (Å): 9.9335 14.4517 6.5560
angles (deg): 90.00 117.93 90.00
Space group C2/c (No. 15)
Asymmetric unit:
Ba: 0.0000 0.1351 0.2500
Ta: 0.0000 0.4995 0.7500
Te: 0.1027 0.3467 0.5737
Te: 0.2466 0.0631 0.8241

Calculated values
formation energy without anion corrections	-3.92	eV per formula unit
polymorph energy (0 for the lowest one)	0.000	eV/atom
mass density	6.62	g cm⁻³
N(E_F)	0.4218	states/eV/atom

# 5
## OsAuS (GGA-PBE)

Data for a geometry-optimized OsAuS structure.

a b c (Å): 3.0852 3.0852 18.7951
angles (deg): 90.00 90.00 120.00
Space group R3m (No. 160, hexagonal axes)
Asymmetric unit:
Os: 0.0000 0.0000 0.0000
Au: 0.0000 0.0000 0.5455
S: 0.0000 0.0000 0.4077

Calculated values
formation energy without anion corrections	0.48	eV per formula unit
polymorph energy (0 for the lowest one)	0.000	eV/atom
mass density	13.48	g cm⁻³
N(E_F)	0.4960	states/eV/atom

# 6
## BaPS2N (GGA-PBE)

Data for a geometry-optimized BaPS2N structure.

a b c (Å): 5.9339 5.9339 5.1240
angles (deg): 90.00 90.00 90.00
Space group P4/mmm (No. 123)
Asymmetric unit:
Ba: 0.0000 0.0000 0.0000
P: 0.5000 0.5000 0.5000
S: 0.0000 0.5000 0.0000
N: 0.0000 0.0000 0.5000

Calculated values
formation energy without anion corrections	7.94	eV per formula unit
polymorph energy (0 for the lowest one)	1.841	eV/atom
mass density	2.27	g cm⁻³
N(E_F)	1.7327	states/eV/atom

# 7
## RbVNi2 (GGA-PBE)

Data for a geometry-optimized RbVNi2 structure.

a b c (Å): 7.2841 7.2841 7.1819
angles (deg): 90.00 90.00 90.00
Space group I-42d (No. 122)
Asymmetric unit:
Rb: 0.0000 0.0000 0.0000
V: 0.0000 0.0000 0.5000
Ni: 0.1430 0.2500 0.6250

Calculated values
polymorph energy (0 for the lowest one)	0.000	eV/atom
formation enthalpy at 0 K	1.073	eV per atom
mass density	4.42	g cm⁻³
N(E_F)	1.5706	states/eV/atom

# 8
## Dy2Ni7 (GGA-PBE)

Data for a geometry-optimized Dy2Ni7 structure.

a b c (Å): 4.9336 4.9336 36.1886
angles (deg): 90.00 90.00 120.00
Space group R-3m (No. 166, hexagonal axes)
Asymmetric unit:
Dy: 0.0000 0.0000 0.0505
Dy: 0.0000 0.0000 0.1471
Ni: 0.0000 0.0000 0.2782
Ni: 0.0000 0.0000 0.3883
Ni: 0.0000 0.0000 0.5000
Ni: 0.0000 0.5000 0.0000
Ni: 0.0010 0.5005 0.8904

Calculated values
polymorph energy (0 for the lowest one)	0.000	eV/atom
formation enthalpy at 0 K	-0.397	eV per atom
mass density	9.61	g cm⁻³
N(E_F)	1.0855	states/eV/atom

# 9
## GaBSe2 (GGA-PBE)

Data for a geometry-optimized GaBSe2 structure.

a b c (Å): 5.4713 5.6282 6.7205
angles (deg): 85.52 77.66 79.63
Space group P1 (No. 1)
Asymmetric unit:
Ga: 0.0000 0.0000 0.0000
Ga: 0.4634 0.3108 0.9839
B: 0.6715 0.9517 0.9084
B: 0.9845 0.1676 0.5252
Se: 0.0150 0.3140 0.2439
Se: 0.1034 0.3245 0.7274
Se: 0.4184 0.7457 0.0667
Se: 0.7536 0.9355 0.5988

Calculated values
formation energy without anion corrections	-0.58	eV per formula unit
polymorph energy (0 for the lowest one)	0.076	eV/atom
mass density	3.99	g cm⁻³

# 10
## Al2PbAu2 (GGA-PBE)

Data for a geometry-optimized Al2PbAu2 structure.

a b c (Å): 4.2008 4.2008 11.8699
angles (deg): 90.00 90.00 90.00
Space group I4/mmm (No. 139)
Asymmetric unit:
Al: 0.0000 0.5000 0.2500
Pb: 0.0000 0.0000 0.0000
Au: 0.0000 0.0000 0.3776

Calculated values
formation enthalpy at 0 K	-0.261	eV per atom
mass density	10.39	g cm⁻³
N(E_F)	0.4668	states/eV/atom

# 11
## TbNbSi2 (GGA-PBE)

Data for a geometry-optimized TbNbSi2 structure.

a b c (Å): 3.8222 3.8222 19.1938
angles (deg): 90.00 90.00 120.00
Space group R-3m (No. 166, hexagonal axes)
Asymmetric unit:
Tb: 0.0000 0.0000 0.0000
Nb: 0.0000 0.0000 0.5000
Si: 0.0000 0.0000 0.2391

Calculated values
formation energy without anion corrections	-1.83	eV per formula unit
mass density	6.32	g cm⁻³
N(E_F)	0.2773	states/eV/atom

# 12
## Se2IO8 (GGA-PBE)

Data for a geometry-optimized Se2IO8 structure.

a b c (Å): 11.7480 7.1375 5.1965
angles (deg): 90.00 103.52 90.00
Space group C2/m (No. 12)
Asymmetric unit:
Se: 0.1856 0.0000 0.1585
I: 0.0000 0.0000 0.5000
O: 0.1127 0.1803 0.2650
O: 0.1504 0.0000 0.8121
O: 0.1729 0.5000 0.7552

Calculated values
formation energy without anion corrections	-2.39	eV per formula unit
mass density	3.24	g cm⁻³
N(E_F)	0.2151	states/eV/atom

Number 1: total magnetization 0.00 μB per formula unit. Number 2: total magnetization 10.75 μB per formula unit. Number 3: total magnetization 0.00 μB per formula unit. Number 4: total magnetization 0.00 μB per formula unit. Number 5: total magnetization 0.00 μB per formula unit. Number 6: total magnetization 3.67 μB per formula unit. Number 7: total magnetization 1.93 μB per formula unit. Number 8: total magnetization 1.16 μB per formula unit. Number 9: total magnetization 0.00 μB per formula unit. Number 10: total magnetization 0.00 μB per formula unit. Number 11: total magnetization 0.00 μB per formula unit. Number 12: total magnetization 0.00 μB per formula unit.